First-principles (PBE-GGA) data for Mg7Hg2Ir2 after structural relaxation, as listed in Alexandria via LeMat-Bulk.

Properties
Its formation energy is -0.1008 eV/atom. As for the symmetry: Cmmm (65). Its total magnetization is 0.000 μB per atom.

Cell lengths 6.2941, 6.4474, 6.2940 Å; angles 90.02, 98.65, 89.99 degrees
Closest atoms and distances in Å follow each position.
Atoms (fractional coordinates):
Mg: 0.0001 0.7574 0.5001  2 Ir 2.59
Mg: 0.9999 0.2426 0.4999  2 Ir 2.59
Mg: 0.5002 0.2426 0.0001  2 Ir 2.59
Mg: 0.5000 0.2373 0.5000  2 Ir 2.63
Mg: 0.5000 0.7627 0.5000  2 Ir 2.63
Mg: 0.0000 0.0000 0.0000  2 Ir 2.64
Mg: 0.4998 0.7574 0.9999  2 Ir 2.59
Hg: 0.8167 0.5000 0.8167  6 Mg 2.96-3.10, 1 Hg 3.01
Hg: 0.1833 0.5000 0.1833  6 Mg 2.96-3.10, 1 Hg 3.01
Ir: 0.2761 0.0001 0.7239  7 Mg 2.59-2.64
Ir: 0.7239 0.9999 0.2761  7 Mg 2.59-2.64

First-principles (PBE-GGA) data for Ho6CoSb3 after structural relaxation, as listed in Alexandria via LeMat-Bulk.

Properties
As for the symmetry: Cmc2_1 (36). The calculation puts the raw formation energy at -497.2 meV per atom. Its total magnetization is 0.000 μB per atom.

Cell lengths 7.3525, 9.0660, 9.0660 Å; angles 103.40, 90.00, 90.00 degrees
Closest atoms and distances in Å follow each position.
Atoms (fractional coordinates):
Sb: 0.4911 0.2923 0.0703  7 Ho 3.03-3.24
Sb: 0.4911 0.9297 0.7077  7 Ho 3.03-3.24
Sb: 0.9911 0.7077 0.9297  7 Ho 3.03-3.24
Sb: 0.3713 0.3953 0.6047  7 Ho 3.07-3.27
Sb: 0.9911 0.0703 0.2923  7 Ho 3.03-3.24
Sb: 0.8713 0.6047 0.3953  7 Ho 3.07-3.27
Co: 0.4946 0.8615 0.1385  5 Ho 2.60-2.73
Co: 0.9946 0.1385 0.8615  5 Ho 2.60-2.73
Ho: 0.2048 0.7568 0.2432  1 Co 2.60
Ho: 0.1681 0.0958 0.5998  1 Co 2.64
Ho: 0.6681 0.9042 0.4002  1 Co 2.64
Ho: 0.1738 0.7053 0.6300  4 Sb 3.03-3.12
Ho: 0.1738 0.3700 0.2947  4 Sb 3.03-3.12
Ho: 0.6738 0.6300 0.7053  4 Sb 3.03-3.12
Ho: 0.6738 0.2947 0.3700  4 Sb 3.03-3.12
Ho: 0.7048 0.2432 0.7568  1 Co 2.60
Ho: 0.6681 0.5998 0.0958  1 Co 2.64
Ho: 0.1681 0.4002 0.9042  1 Co 2.64
Ho: 0.2487 0.0053 0.9947  2 Co 2.66-2.73
Ho: 0.7487 0.9947 0.0053  2 Co 2.66-2.73

First-principles (PBE-GGA) data for Li2InRu after structural relaxation, as listed in Alexandria via LeMat-Bulk.

Properties
Its formation energy is 0.2283 eV/atom. As for the symmetry: R-3m (166). Its total magnetization is 0.115 μB per atom.

Cell lengths 9.6496, 9.6496, 9.6496 Å; angles 17.09, 17.09, 17.09 degrees
Closest atoms and distances in Å follow each position.
Atoms (fractional coordinates):
Li: 0.5092 0.5092 0.5092  3 Ru 2.69, 6 Li 2.87
Li: 0.9908 0.9908 0.9908  3 Ru 2.69, 6 Li 2.87
In: 0.7500 0.7500 0.7500  6 In 2.87, 6 Li 3.11
Ru: 0.2500 0.2500 0.2500  6 Li 2.69, 6 Ru 2.87